Record 1
This record from Alexandria describes an optimized crystal structure of Ho3Ag3SbS8. The functional is PBE.

Size of the total moment = 0.00 μB/f.u.

Cell: 7.7683 7.7683 7.7866 Å, 118.83 118.83 61.27°
With the nearest neighbours (Å) after each atom.
Element x y z (fractional)
Ho (0.0000, 0.0000, 0.0000)  6 S 2.72-2.75
Ho (0.0000, 0.5000, 0.5000)  6 S 2.72-2.75
Ho (0.5000, 0.0000, 0.5000)  6 S 2.72-2.75
Ag (0.0000, 0.5000, 0.0000)  6 S 2.79-2.83
Ag (0.5000, 0.0000, 0.0000)  6 S 2.79-2.83
Ag (0.5000, 0.5000, 0.5000)  6 S 2.81-2.82
Sb (0.5000, 0.5000, 0.0000)  6 S 2.65
S (0.2456, 0.2456, 0.2556)  3 Ho 2.72, 3 Ag 2.82-2.83
S (0.2566, 0.7389, 0.7623)  1 Sb 2.65, 2 Ho 2.75, 2 Ag 2.79-2.81
S (0.2612, 0.2612, 0.7555)  1 Sb 2.65, 2 Ho 2.75, 2 Ag 2.81
S (0.2611, 0.7434, 0.2377)  1 Sb 2.65, 2 Ho 2.75, 2 Ag 2.79-2.81
S (0.7389, 0.2566, 0.7623)  1 Sb 2.65, 2 Ho 2.75, 2 Ag 2.79-2.81
S (0.7388, 0.7388, 0.2445)  1 Sb 2.65, 2 Ho 2.75, 2 Ag 2.81
S (0.7434, 0.2611, 0.2377)  1 Sb 2.65, 2 Ho 2.75, 2 Ag 2.79-2.81
S (0.7544, 0.7544, 0.7444)  3 Ho 2.72, 3 Ag 2.82-2.83

---

Record 2
This record from Alexandria describes an optimized crystal structure of Ho2ScAg3S6. The functional is PBE.

Size of the total moment = 0.00 μB/f.u.

Cell: 6.8177 6.8177 6.6115 Å, 99.80 99.80 120.06°
With the nearest neighbours (Å) after each atom.
Element x y z (fractional)
Ho (0.1663, 0.8337, 0.0000)  6 S 2.73-2.74
Ho (0.8337, 0.1663, 0.0000)  6 S 2.73-2.74
Sc (0.5000, 0.5000, 0.0000)  6 S 2.62-2.63
Ag (0.0000, 0.0000, 0.5000)  6 S 2.78-2.88
Ag (0.3301, 0.6699, 0.5000)  6 S 2.77-2.85
Ag (0.6699, 0.3301, 0.5000)  6 S 2.77-2.85
S (0.1011, 0.4227, 0.7651)  1 Sc 2.63, 2 Ho 2.74, 3 Ag 2.77-2.85
S (0.2560, 0.2560, 0.2319)  1 Sc 2.62, 2 Ho 2.73, 3 Ag 2.81-2.88
S (0.4227, 0.1011, 0.7651)  1 Sc 2.63, 2 Ho 2.74, 3 Ag 2.77-2.85
S (0.5773, 0.8989, 0.2349)  1 Sc 2.63, 2 Ho 2.74, 3 Ag 2.77-2.85
S (0.7440, 0.7440, 0.7681)  1 Sc 2.62, 2 Ho 2.73, 3 Ag 2.81-2.88
S (0.8989, 0.5773, 0.2349)  1 Sc 2.63, 2 Ho 2.74, 3 Ag 2.77-2.85

---

Record 3
This record from Alexandria describes an optimized crystal structure of HoSc2Ag3S6. The functional is PBE.

Size of the total moment = 0.00 μB/f.u.

Cell: 6.7329 6.7329 7.7805 Å, 97.72 97.72 119.91°
With the nearest neighbours (Å) after each atom.
Element x y z (fractional)
Ho (0.0000, 0.0000, 0.0000)  6 S 2.72
Sc (0.3331, 0.6669, 0.0000)  6 S 2.60
Sc (0.6669, 0.3331, 0.0000)  6 S 2.60
Ag (0.1782, 0.8218, 0.5000)  2 S 2.37
Ag (0.5000, 0.5000, 0.5000)  2 S 2.37
Ag (0.8218, 0.1782, 0.5000)  2 S 2.37
S (0.0572, 0.7094, 0.1849)  1 Ag 2.37, 2 Sc 2.60
S (0.2906, 0.9428, 0.8151)  1 Ag 2.37, 2 Sc 2.60
S (0.4042, 0.4042, 0.1844)  1 Ag 2.37, 2 Sc 2.60
S (0.5958, 0.5958, 0.8156)  1 Ag 2.37, 2 Sc 2.60
S (0.7094, 0.0572, 0.1849)  1 Ag 2.37, 2 Sc 2.60
S (0.9428, 0.2906, 0.8151)  1 Ag 2.37, 2 Sc 2.60

---

Record 4
This record from Alexandria describes an optimized crystal structure of HoScAg2S4. The functional is PBE.

Size of the total moment = 0.00 μB/f.u.

Cell: 6.7623 3.8952 6.8115 Å, 90.00 112.83 90.00°
With the nearest neighbours (Å) after each atom.
Element x y z (fractional)
Ho (0.0000, 0.0000, 0.0000)  6 S 2.71-2.73
Sc (0.5000, 0.5000, 0.0000)  6 S 2.61-2.65
Ag (0.0000, 0.5000, 0.5000)  6 S 2.77-3.04
Ag (0.5000, 0.0000, 0.5000)  6 S 2.72-2.92
S (0.2533, 0.0000, 0.7702)  2 Sc 2.65, 1 Ho 2.73, 3 Ag 2.77-2.92
S (0.2689, 0.5000, 0.2306)  1 Sc 2.61, 2 Ho 2.71, 2 Ag 2.72
S (0.7311, 0.5000, 0.7694)  1 Sc 2.61, 2 Ho 2.71, 2 Ag 2.72
S (0.7467, 0.0000, 0.2298)  2 Sc 2.65, 1 Ho 2.73, 3 Ag 2.77-2.92

---

no.,calculated total energy (eV per atom),formation energy from raw total energies (eV/atom)
1,-5.009,-1.047
2,-5.307,-1.240
3,-5.453,-1.240
4,-5.356,-1.216